Material: YZnCo2
Method: DFT, SCAN
State: PBEsol geometry

Results
total magnetic moment	0.8	μB/cell
total energy	-18.83	eV per atom
ΔE_f	0.64	eV per formula unit
mass density	7.95	g/cm³

Structure (CIF):
```
data_YZnCo2
_chemical_formula_sum 'Y1 Zn1 Co2'
_cell_length_a 4.069
_cell_length_b 4.069
_cell_length_c 3.435
_cell_angle_alpha 90.00
_cell_angle_beta 90.00
_cell_angle_gamma 90.00
_space_group_name_H-M_alt 'P 4/m m m'
_space_group_IT_number 123
_space_group_name_Hall '-P 4 2'
loop_
_atom_site_label
_atom_site_type_symbol
_atom_site_fract_x
_atom_site_fract_y
_atom_site_fract_z
Y1 Y 0.000 0.000 0.000
Zn1 Zn 0.500 0.500 0.000
Co1 Co 0.000 0.500 0.500
```